Entry 1:
Tb2PrNd5Dy after structural relaxation. Source: Alexandria, functional GGA-PBE.

abc: 5.7031 10.6331 10.7936
angles: 90.00 90.00 105.56
Closest atoms and distances in Å follow each position.
Atoms (fractional coordinates):
Tb 0.8831 0.7663 0.8190  8 Nd 3.37-3.63
Tb 0.1105 0.2209 0.7365  7 Nd 3.48-3.83, 1 Pr 3.49, 2 Dy 3.74
Tb 0.1169 0.2337 0.3190  8 Nd 3.37-3.63
Tb 0.8895 0.7791 0.2365  7 Nd 3.48-3.83, 1 Pr 3.49, 2 Dy 3.74
Pr 0.7978 0.5955 0.5088  2 Tb 3.49-3.78, 8 Nd 3.54-3.90, 2 Dy 3.71
Pr 0.2022 0.4045 0.0088  2 Tb 3.49-3.78, 8 Nd 3.54-3.90, 2 Dy 3.71
Nd 0.3925 0.7850 0.0257  5 Nd 3.52-3.82, 4 Tb 3.63-3.65, 1 Pr 3.90
Nd 0.7187 0.4374 0.8083  1 Dy 3.10, 1 Tb 3.37, 2 Nd 3.46
Nd 0.4792 0.9583 0.7424  2 Dy 3.24-3.38, 2 Nd 3.52-3.54, 2 Tb 3.56
Nd 0.2966 0.5931 0.7032  3 Nd 3.46-3.76, 1 Dy 3.54, 3 Pr 3.54-3.82, 3 Tb 3.58-3.83
Nd 0.9835 0.9670 0.5227  2 Dy 3.30, 3 Tb 3.48-3.64
Nd 0.6075 0.2150 0.5257  5 Nd 3.52-3.82, 4 Tb 3.63-3.65, 1 Pr 3.90
Nd 0.2813 0.5626 0.3083  1 Dy 3.10, 1 Tb 3.37, 2 Nd 3.46
Nd 0.5208 0.0417 0.2424  2 Dy 3.24-3.38, 2 Nd 3.52-3.54, 2 Tb 3.56
Nd 0.7034 0.4069 0.2032  3 Nd 3.46-3.76, 1 Dy 3.54, 3 Pr 3.54-3.82, 3 Tb 3.58-3.83
Nd 0.0165 0.0330 0.0227  2 Dy 3.30, 3 Tb 3.48-3.64
Dy 0.5895 0.1790 0.9572  5 Nd 3.10-3.38
Dy 0.4105 0.8210 0.4572  5 Nd 3.10-3.38

Output
crystal system: orthorhombic
ΔH_f (0 K): 0.141 eV/atom

Entry 2:
Ac3La after structural relaxation. Source: Alexandria, functional GGA-PBE.

abc: 6.3623 3.9651 6.8600
angles: 90.00 90.00 90.00
Closest atoms and distances in Å follow each position.
Atoms (fractional coordinates):
Ac 0.0000 0.5000 0.4984  8 Ac 3.92-3.97, 4 La 3.95-3.97
Ac 0.5000 0.5000 0.1637  4 La 3.91, 8 Ac 3.92-4.01
Ac 0.5000 0.0000 0.6714  2 La 3.90, 10 Ac 3.92-4.01
La 0.0000 0.0000 0.9998  10 Ac 3.90-3.97, 2 La 3.97

Output
crystal system: orthorhombic
ΔH_f (0 K): 0.033 eV/atom
excess energy over the best structure of this formula in the dataset: 19 meV/atom

Spin magnetization in μB per formula unit, matching the order above: 0.00, 0.00